[1]
Computed, not measured: CoAgRu2 after structural relaxation at the GGA-PBE level of DFT.

Summary:
- Symmetry: Cmm2, No. 35
- Calculated formation energy: 0.4910 eV per atom
- Total DFT energy (no corrections): -6.636 eV per atom

```
data_CoAgRu2
_chemical_formula_sum 'Co1 Ag1 Ru2'
_symmetry_space_group_name_H-M 'P 1'
_symmetry_Int_Tables_number 1
_cell_length_a 2.672
_cell_length_b 2.672
_cell_length_c 9.226
_cell_angle_alpha 90.00
_cell_angle_beta 90.00
_cell_angle_gamma 117.62
loop_
_symmetry_equiv_pos_as_xyz
'x,y,z'
loop_
_atom_site_label
_atom_site_type_symbol
_atom_site_fract_x
_atom_site_fract_y
_atom_site_fract_z
Co1 Co 0.000 0.000 0.000
Ag1 Ag 0.500 0.500 0.745
Ru1 Ru 0.000 0.000 0.470
Ru2 Ru 0.500 0.500 0.229
```

=====

[2]
Computed, not measured: Al2CuNi2 after structural relaxation at the GGA-PBE level of DFT.

Summary:
- Energy above the most stable polymorph in this dataset: 0.0 meV/atom
- Symmetry: C2/c, No. 15
- Calculated formation energy: -0.4332 eV per atom
- Total DFT energy (no corrections): -5.062 eV per atom

```
data_Al2CuNi2
_chemical_formula_sum 'Al4 Cu2 Ni4'
_symmetry_space_group_name_H-M 'P 1'
_symmetry_Int_Tables_number 1
_cell_length_a 4.949
_cell_length_b 4.949
_cell_length_c 6.618
_cell_angle_alpha 109.49
_cell_angle_beta 109.49
_cell_angle_gamma 54.57
loop_
_symmetry_equiv_pos_as_xyz
'x,y,z'
loop_
_atom_site_label
_atom_site_type_symbol
_atom_site_fract_x
_atom_site_fract_y
_atom_site_fract_z
Al1 Al 0.025 0.338 0.147
Al2 Al 0.338 0.025 0.647
Al3 Al 0.662 0.975 0.353
Al4 Al 0.975 0.662 0.853
Cu1 Cu 0.183 0.817 0.250
Cu2 Cu 0.817 0.183 0.750
Ni1 Ni 0.239 0.544 0.542
Ni2 Ni 0.456 0.761 0.958
Ni3 Ni 0.544 0.239 0.042
Ni4 Ni 0.761 0.456 0.458
```